# 1
# PBE NaMn2WN, optimized geometry
# **Energy above the most stable polymorph in this dataset**: 1878 meV/atom
# **Formation energy (no corrections)**: 2.291 eV per atom
# **VASP energy**: -5.90 eV per atom
data_NaMn2WN
_chemical_formula_sum 'Na1 Mn2 W1 N1'
_symmetry_space_group_name_H-M 'P 4/m m m'
_symmetry_Int_Tables_number 123
_symmetry_space_group_name_Hall '-P 4 2'
_cell_length_a 4.529
_cell_length_b 4.529
_cell_length_c 6.097
_cell_angle_alpha 90.00
_cell_angle_beta 90.00
_cell_angle_gamma 90.00
loop_
_atom_site_label
_atom_site_type_symbol
_atom_site_fract_x
_atom_site_fract_y
_atom_site_fract_z
Na1 Na 0.000 0.000 0.000
Mn1 Mn 0.000 0.500 0.500
W1 W 0.000 0.000 0.500
N1 N 0.500 0.500 0.000

---

# 2
# PBE MoP2, optimized geometry
# **VASP energy**: -7.00 eV per atom
data_MoP2
_chemical_formula_sum 'Mo4 P8'
_symmetry_space_group_name_H-M 'P 63/m m c'
_symmetry_Int_Tables_number 194
_symmetry_space_group_name_Hall '-P 6c 2c'
_cell_length_a 4.5556
_cell_length_b 4.5556
_cell_length_c 10.6800
_cell_angle_alpha 90.00
_cell_angle_beta 90.00
_cell_angle_gamma 120.00
loop_
_atom_site_label
_atom_site_type_symbol
_atom_site_fract_x
_atom_site_fract_y
_atom_site_fract_z
Mo1 Mo 0.3333 0.6667 0.0568
P1 P 0.0000 0.0000 0.0000
P2 P 0.1620 0.3240 0.2500

---

# 3
# PBE CeGdPuMg, optimized geometry
# **VASP energy**: -8.87 eV per atom
data_CeGdPuMg
_chemical_formula_sum 'Ce4 Gd4 Pu4 Mg4'
_symmetry_space_group_name_H-M 'F -4 3 m'
_symmetry_Int_Tables_number 216
_symmetry_space_group_name_Hall 'F -4 2 3'
_cell_length_a 7.631
_cell_length_b 7.631
_cell_length_c 7.631
_cell_angle_alpha 90.00
_cell_angle_beta 90.00
_cell_angle_gamma 90.00
loop_
_atom_site_label
_atom_site_type_symbol
_atom_site_fract_x
_atom_site_fract_y
_atom_site_fract_z
Ce1 Ce 0.000 0.000 0.000
Gd1 Gd 0.000 0.000 0.500
Pu1 Pu 0.250 0.250 0.250
Mg1 Mg 0.250 0.250 0.750

---

# 4
# PBE CsAsICl2, optimized geometry
# **Formation energy (no corrections)**: -0.889 eV per atom
# **VASP energy**: -3.04 eV per atom
data_CsAsICl2
_chemical_formula_sum 'Cs1 As1 I1 Cl2'
_symmetry_space_group_name_H-M 'P 4/m m m'
_symmetry_Int_Tables_number 123
_symmetry_space_group_name_Hall '-P 4 2'
_cell_length_a 5.373
_cell_length_b 5.373
_cell_length_c 5.808
_cell_angle_alpha 90.00
_cell_angle_beta 90.00
_cell_angle_gamma 90.00
loop_
_atom_site_label
_atom_site_type_symbol
_atom_site_fract_x
_atom_site_fract_y
_atom_site_fract_z
Cs1 Cs 0.000 0.000 0.000
As1 As 0.500 0.500 0.500
I1 I 0.500 0.500 0.000
Cl1 Cl 0.000 0.500 0.500

---

# 5
# PBE HoEr6Tl6, optimized geometry
# **VASP energy**: -3.70 eV per atom
data_HoEr6Tl6
_chemical_formula_sum 'Ho1 Er6 Tl6'
_symmetry_space_group_name_H-M 'P 6/m m m'
_symmetry_Int_Tables_number 191
_symmetry_space_group_name_Hall '-P 6 2'
_cell_length_a 6.3901
_cell_length_b 6.3901
_cell_length_c 10.4686
_cell_angle_alpha 90.00
_cell_angle_beta 90.00
_cell_angle_gamma 120.00
loop_
_atom_site_label
_atom_site_type_symbol
_atom_site_fract_x
_atom_site_fract_y
_atom_site_fract_z
Ho1 Ho 0.0000 0.0000 0.0000
Er1 Er 0.0000 0.0000 0.3376
Er2 Er 0.3333 0.6667 0.0000
Er3 Er 0.3333 0.6667 0.5000
Tl1 Tl 0.0000 0.5000 0.2461

---

# 6
# PBE Pr8Ni3Br4N, optimized geometry
# **Formation energy (no corrections)**: -0.891 eV per atom
# **VASP energy**: -5.30 eV per atom
data_Pr8Ni3Br4N
_chemical_formula_sum 'Pr16 Ni6 Br8 N2'
_symmetry_space_group_name_H-M 'C 1 2/m 1'
_symmetry_Int_Tables_number 12
_symmetry_space_group_name_Hall '-C 2y'
_cell_length_a 13.956
_cell_length_b 8.045
_cell_length_c 8.985
_cell_angle_alpha 90.00
_cell_angle_beta 121.20
_cell_angle_gamma 90.00
loop_
_atom_site_label
_atom_site_type_symbol
_atom_site_fract_x
_atom_site_fract_y
_atom_site_fract_z
Pr1 Pr 0.014 0.235 0.309
Pr2 Pr 0.221 0.000 0.691
Pr3 Pr 0.231 0.500 0.693
Ni1 Ni 0.000 0.500 0.500
Ni2 Ni 0.250 0.250 0.500
Br1 Br 0.000 0.000 0.000
Br2 Br 0.000 0.500 0.000
Br3 Br 0.250 0.250 0.000
N1 N 0.000 0.000 0.500

---

# 7
# PBE PmBe2Sb, optimized geometry
# **Formation energy (no corrections)**: 0.062 eV per atom
# **VASP energy**: -4.02 eV per atom
data_PmBe2Sb
_chemical_formula_sum 'Pm1 Be2 Sb1'
_symmetry_space_group_name_H-M 'P 4/m m m'
_symmetry_Int_Tables_number 123
_symmetry_space_group_name_Hall '-P 4 2'
_cell_length_a 4.328
_cell_length_b 4.328
_cell_length_c 4.033
_cell_angle_alpha 90.00
_cell_angle_beta 90.00
_cell_angle_gamma 90.00
loop_
_atom_site_label
_atom_site_type_symbol
_atom_site_fract_x
_atom_site_fract_y
_atom_site_fract_z
Pm1 Pm 0.000 0.000 0.000
Be1 Be 0.000 0.500 0.500
Sb1 Sb 0.500 0.500 0.000

---

# 8
# PBE Mg4Tl5Sn, optimized geometry
# **VASP energy**: -2.23 eV per atom
data_Mg4Tl5Sn
_chemical_formula_sum 'Mg4 Tl5 Sn1'
_symmetry_space_group_name_H-M 'P 4/m m m'
_symmetry_Int_Tables_number 123
_symmetry_space_group_name_Hall '-P 4 2'
_cell_length_a 3.366
_cell_length_b 3.366
_cell_length_c 22.981
_cell_angle_alpha 90.00
_cell_angle_beta 90.00
_cell_angle_gamma 90.00
loop_
_atom_site_label
_atom_site_type_symbol
_atom_site_fract_x
_atom_site_fract_y
_atom_site_fract_z
Mg1 Mg 0.000 0.000 0.097
Mg2 Mg 0.000 0.000 0.289
Tl1 Tl 0.500 0.500 0.000
Tl2 Tl 0.500 0.500 0.193
Tl3 Tl 0.500 0.500 0.390
Sn1 Sn 0.000 0.000 0.500

---

# 9
# PBE BeV2H4, optimized geometry
# **Energy above the most stable polymorph in this dataset**: 57 meV/atom
# **VASP energy**: -4.94 eV per atom
data_BeV2H4
_chemical_formula_sum 'Be2 V4 H8'
_symmetry_space_group_name_H-M 'I 4/m m m'
_symmetry_Int_Tables_number 139
_symmetry_space_group_name_Hall '-I 4 2'
_cell_length_a 2.959
_cell_length_b 2.959
_cell_length_c 9.831
_cell_angle_alpha 90.00
_cell_angle_beta 90.00
_cell_angle_gamma 90.00
loop_
_atom_site_label
_atom_site_type_symbol
_atom_site_fract_x
_atom_site_fract_y
_atom_site_fract_z
Be1 Be 0.000 0.000 0.000
V1 V 0.000 0.000 0.359
H1 H 0.000 0.000 0.169
H2 H 0.000 0.500 0.000

---

# 10
# PBE SiNi2Rh, optimized geometry
# **Formation energy (no corrections)**: -0.372 eV per atom
# **VASP energy**: -6.46 eV per atom
data_SiNi2Rh
_chemical_formula_sum 'Si2 Ni4 Rh2'
_symmetry_space_group_name_H-M 'C 1 m 1'
_symmetry_Int_Tables_number 8
_symmetry_space_group_name_Hall 'C -2y'
_cell_length_a 8.753
_cell_length_b 2.743
_cell_length_c 4.282
_cell_angle_alpha 90.00
_cell_angle_beta 111.17
_cell_angle_gamma 90.00
loop_
_atom_site_label
_atom_site_type_symbol
_atom_site_fract_x
_atom_site_fract_y
_atom_site_fract_z
Si1 Si 0.000 0.000 0.000
Ni1 Ni 0.024 0.500 0.498
Ni2 Ni 0.284 0.000 0.681
Rh1 Rh 0.242 0.500 0.152

---

# 11
# PBE Nb2SiRh8, optimized geometry
# **Formation energy (no corrections)**: -0.440 eV per atom
# **VASP energy**: -8.11 eV per atom
data_Nb2SiRh8
_chemical_formula_sum 'Nb4 Si2 Rh16'
_symmetry_space_group_name_H-M 'I m m m'
_symmetry_Int_Tables_number 71
_symmetry_space_group_name_Hall '-I 2 2'
_cell_length_a 4.379
_cell_length_b 5.648
_cell_length_c 13.362
_cell_angle_alpha 90.00
_cell_angle_beta 90.00
_cell_angle_gamma 90.00
loop_
_atom_site_label
_atom_site_type_symbol
_atom_site_fract_x
_atom_site_fract_y
_atom_site_fract_z
Nb1 Nb 0.000 0.000 0.191
Si1 Si 0.000 0.000 0.500
Rh1 Rh 0.000 0.246 0.000
Rh2 Rh 0.000 0.258 0.365
Rh3 Rh 0.000 0.500 0.181

---

# 12
# PBE HoGa4Co2Ru, optimized geometry
# **VASP energy**: -5.39 eV per atom
data_HoGa4Co2Ru
_chemical_formula_sum 'Ho3 Ga12 Co6 Ru3'
_symmetry_space_group_name_H-M 'R -3 m'
_symmetry_Int_Tables_number 166
_symmetry_space_group_name_Hall '-R 3 2"'
_cell_length_a 4.0937
_cell_length_b 4.0937
_cell_length_c 25.7675
_cell_angle_alpha 90.00
_cell_angle_beta 90.00
_cell_angle_gamma 120.00
loop_
_atom_site_label
_atom_site_type_symbol
_atom_site_fract_x
_atom_site_fract_y
_atom_site_fract_z
Ho1 Ho 0.0000 0.0000 0.0000
Ga1 Ga 0.0000 0.0000 0.1292
Ga2 Ga 0.0000 0.0000 0.4014
Co1 Co 0.0000 0.0000 0.2374
Ru1 Ru 0.0000 0.0000 0.5000

---

# 13
# PBE CaHo2Fe, optimized geometry
# **Energy above the most stable polymorph in this dataset**: 216 meV/atom
# **VASP energy**: -4.62 eV per atom
data_CaHo2Fe
_chemical_formula_sum 'Ca3 Ho6 Fe3'
_symmetry_space_group_name_H-M 'R -3 m'
_symmetry_Int_Tables_number 166
_symmetry_space_group_name_Hall '-R 3 2"'
_cell_length_a 3.6452
_cell_length_b 3.6452
_cell_length_c 31.2592
_cell_angle_alpha 90.00
_cell_angle_beta 90.00
_cell_angle_gamma 120.00
loop_
_atom_site_label
_atom_site_type_symbol
_atom_site_fract_x
_atom_site_fract_y
_atom_site_fract_z
Ca1 Ca 0.0000 0.0000 0.0000
Ho1 Ho 0.0000 0.0000 0.1139
Fe1 Fe 0.0000 0.0000 0.5000

---

# 14
# PBE Ta2CdIr, optimized geometry
# **VASP energy**: -8.50 eV per atom
data_Ta2CdIr
_chemical_formula_sum 'Ta4 Cd2 Ir2'
_symmetry_space_group_name_H-M 'C m m m'
_symmetry_Int_Tables_number 65
_symmetry_space_group_name_Hall '-C 2 2'
_cell_length_a 4.083
_cell_length_b 4.091
_cell_length_c 8.455
_cell_angle_alpha 90.00
_cell_angle_beta 90.00
_cell_angle_gamma 90.00
loop_
_atom_site_label
_atom_site_type_symbol
_atom_site_fract_x
_atom_site_fract_y
_atom_site_fract_z
Ta1 Ta 0.000 0.000 0.225
Cd1 Cd 0.000 0.500 0.500
Ir1 Ir 0.000 0.500 0.000

---

# 15
# PBE LiBe3, optimized geometry
# **Energy above the most stable polymorph in this dataset**: 41 meV/atom
# **VASP energy**: -3.20 eV per atom
data_LiBe3
_chemical_formula_sum 'Li2 Be6'
_symmetry_space_group_name_H-M 'P -1'
_symmetry_Int_Tables_number 2
_symmetry_space_group_name_Hall '-P 1'
_cell_length_a 2.245
_cell_length_b 5.736
_cell_length_c 6.736
_cell_angle_alpha 68.25
_cell_angle_beta 89.06
_cell_angle_gamma 79.00
loop_
_atom_site_label
_atom_site_type_symbol
_atom_site_fract_x
_atom_site_fract_y
_atom_site_fract_z
Li1 Li 0.144 0.246 0.499
Be1 Be 0.084 0.351 0.840
Be2 Be 0.249 0.990 0.145
Be3 Be 0.413 0.682 0.858

---

# 16
# PBE LaBe2Se, optimized geometry
# **Formation energy (no corrections)**: 0.150 eV per atom
# **VASP energy**: -3.82 eV per atom
data_LaBe2Se
_chemical_formula_sum 'La4 Be8 Se4'
_symmetry_space_group_name_H-M 'F -4 3 m'
_symmetry_Int_Tables_number 216
_symmetry_space_group_name_Hall 'F -4 2 3'
_cell_length_a 6.832
_cell_length_b 6.832
_cell_length_c 6.832
_cell_angle_alpha 90.00
_cell_angle_beta 90.00
_cell_angle_gamma 90.00
loop_
_atom_site_label
_atom_site_type_symbol
_atom_site_fract_x
_atom_site_fract_y
_atom_site_fract_z
La1 La 0.000 0.000 0.000
Be1 Be 0.000 0.000 0.500
Be2 Be 0.250 0.250 0.750
Se1 Se 0.250 0.250 0.250

---

# 17
# PBE CuGeSb2I, optimized geometry
# **Energy above the most stable polymorph in this dataset**: 310 meV/atom
# **Formation energy (no corrections)**: 0.906 eV per atom
# **VASP energy**: -2.80 eV per atom
data_CuGeSb2I
_chemical_formula_sum 'Cu1 Ge1 Sb2 I1'
_symmetry_space_group_name_H-M 'P 4/m m m'
_symmetry_Int_Tables_number 123
_symmetry_space_group_name_Hall '-P 4 2'
_cell_length_a 5.394
_cell_length_b 5.394
_cell_length_c 5.635
_cell_angle_alpha 90.00
_cell_angle_beta 90.00
_cell_angle_gamma 90.00
loop_
_atom_site_label
_atom_site_type_symbol
_atom_site_fract_x
_atom_site_fract_y
_atom_site_fract_z
Cu1 Cu 0.000 0.000 0.000
Ge1 Ge 0.500 0.500 0.500
Sb1 Sb 0.000 0.500 0.500
I1 I 0.500 0.500 0.000

---

# 18
# PBE HfBe2Cu2, optimized geometry
# **Energy above the most stable polymorph in this dataset**: 0 meV/atom
# **VASP energy**: -5.17 eV per atom
data_HfBe2Cu2
_chemical_formula_sum 'Hf2 Be4 Cu4'
_symmetry_space_group_name_H-M 'I 4/m m m'
_symmetry_Int_Tables_number 139
_symmetry_space_group_name_Hall '-I 4 2'
_cell_length_a 3.851
_cell_length_b 3.851
_cell_length_c 8.498
_cell_angle_alpha 90.00
_cell_angle_beta 90.00
_cell_angle_gamma 90.00
loop_
_atom_site_label
_atom_site_type_symbol
_atom_site_fract_x
_atom_site_fract_y
_atom_site_fract_z
Hf1 Hf 0.000 0.000 0.000
Be1 Be 0.000 0.500 0.250
Cu1 Cu 0.000 0.000 0.366